1.
Compound: Ac8Ir4Cl
Source: Alexandria
Functional: PBE-GGA
Structure: relaxed

Calculated values
crystal system = cubic
energy relative to the elements, uncorrected = -0.78 eV per atom

a = 8.935 Å, b = 8.935 Å, c = 8.935 Å
α = 60.00°, β = 60.00°, γ = 60.00°
Positions (direct):
1 Ac 0.588 0.137 0.137
2 Ac 0.137 0.588 0.137
3 Ac 0.137 0.137 0.588
4 Ac 0.137 0.137 0.137
5 Ac 0.168 0.611 0.611
6 Ac 0.611 0.168 0.611
7 Ac 0.611 0.611 0.168
8 Ac 0.611 0.611 0.611
9 Ir 0.877 0.374 0.374
10 Ir 0.374 0.877 0.374
11 Ir 0.374 0.374 0.877
12 Ir 0.374 0.374 0.374
13 Cl 0.750 0.750 0.750

=====

2.
Compound: PaAlFe2H6
Source: Alexandria
Functional: PBE-GGA
Structure: relaxed

Calculated values
crystal system = trigonal

a = 4.229 Å, b = 4.229 Å, c = 5.569 Å
α = 67.68°, β = 67.68°, γ = 60.00°
Positions (direct):
1 Pa 0.000 0.000 0.000
2 Al 0.500 0.500 0.500
3 Fe 0.788 0.788 0.635
4 Fe 0.212 0.212 0.365
5 H 0.075 0.554 0.817
6 H 0.554 0.075 0.817
7 H 0.446 0.446 0.183
8 H 0.925 0.446 0.183
9 H 0.446 0.925 0.183
10 H 0.554 0.554 0.817

=====

3.
Compound: TaRhPb
Source: Alexandria
Functional: PBE-GGA
Structure: relaxed

Calculated values
ΔE_f = 30 meV/atom
crystal system = tetragonal

a = 6.302 Å, b = 6.302 Å, c = 6.302 Å
α = 150.66°, β = 150.66°, γ = 41.97°
Positions (direct):
1 Ta 0.694 0.694 0.000
2 Rh 0.308 0.308 0.000
3 Pb 0.998 0.998 0.000

=====

4.
Compound: NdMgHg2
Source: Alexandria
Functional: PBE-GGA
Structure: relaxed

Calculated values
ΔE_f = -380 meV/atom
crystal system = tetragonal

a = 3.604 Å, b = 3.604 Å, c = 7.557 Å
α = 90.00°, β = 90.00°, γ = 90.00°
Positions (direct):
1 Mg 0.500 0.500 0.000
2 Nd 0.500 0.500 0.500
3 Hg 0.000 0.000 0.777
4 Hg 0.000 0.000 0.223

=====

5.
Compound: TbCeTmGa
Source: Alexandria
Functional: PBE-GGA
Structure: relaxed

Calculated values
ΔE_f = -89 meV/atom
crystal system = cubic

a = 5.290 Å, b = 5.290 Å, c = 5.290 Å
α = 60.00°, β = 60.00°, γ = 60.00°
Positions (direct):
1 Tm 0.750 0.750 0.750
2 Tb 0.000 0.000 0.000
3 Ga 0.250 0.250 0.250
4 Ce 0.500 0.500 0.500

=====

6.
Compound: ScNb2AsI
Source: Alexandria
Functional: PBE-GGA
Structure: relaxed

Calculated values
crystal system = tetragonal
energy relative to the elements, uncorrected = 0.87 eV per atom

a = 4.814 Å, b = 5.710 Å, c = 4.814 Å
α = 90.00°, β = 90.00°, γ = 90.00°
Positions (direct):
1 I 0.000 0.500 0.000
2 Sc 0.500 0.500 0.500
3 Nb 0.000 0.000 0.500
4 Nb 0.500 0.000 0.000
5 As 0.000 0.000 0.000

=====

7.
Compound: K4ScC2
Source: Alexandria
Functional: PBE-GGA
Structure: relaxed

Calculated values
ΔE_f = 815 meV/atom
crystal system = tetragonal

a = 6.822 Å, b = 6.822 Å, c = 8.946 Å
α = 67.59°, β = 67.59°, γ = 90.00°
Positions (direct):
1 Sc 0.000 0.000 0.000
2 K 0.724 0.724 0.553
3 K 0.276 0.276 0.447
4 K 0.000 0.500 0.000
5 K 0.500 0.000 0.000
6 C 0.542 0.542 0.916
7 C 0.458 0.458 0.084

=====

8.
Compound: MnNiBr2
Source: Alexandria
Functional: PBE-GGA
Structure: relaxed

Calculated values
crystal system = orthorhombic
energy relative to the elements, uncorrected = -0.04 eV per atom

a = 7.599 Å, b = 7.599 Å, c = 7.599 Å
α = 153.88°, β = 151.64°, γ = 38.93°
Positions (direct):
1 Br 0.010 0.010 0.000
2 Br 0.775 0.275 0.500
3 Mn 0.423 0.423 0.000
4 Ni 0.293 0.793 0.500

=====

VASP energy (eV/atom)
-6.174, -5.312, -7.607, -2.122, -4.604, -5.660, -3.352, -4.612
Spin magnetization (Bohr magnetons per cell)
0.00, 0.00, 0.00, 0.18, 0.52, 0.00, 2.36, 4.87